RbIn2PI (PBEsol, optimized geometry); space-group type = No. 123; E_form (uncorrected) = 0.9261 eV per atom
1.0
5.1615 0.0000 0.0000
0.0000 6.4803 0.0000
0.0000 0.0000 6.4803
In Rb I P
2 1 1 1
Cartesian
0.0000 0.0000 3.2401 In
0.0000 3.2401 0.0000 In
0.0000 0.0000 0.0000 Rb
2.5807 3.2401 3.2401 I
2.5807 0.0000 0.0000 P